Density functional theory data (PBE) for a relaxed structure of RbAlCu.

Polymorph energy (0 for the lowest one) ... 133.0 meV per atom
Total DFT energy (no corrections) ... -5.85 eV/cell
Space-group type ... No. 216

Unit cell a=5.151 b=5.151 c=5.151 alpha=60.00 beta=60.00 gamma=60.00
Element x y z (fractional)
Al (0.000, 0.000, 0.000)
Cu (0.250, 0.250, 0.250)
Rb (0.750, 0.750, 0.750)